Here is crystalline La2DyMg2 at its relaxed geometry from Alexandria via LeMat-Bulk. Energies are from GGA-PBE.

a b c (Å): 3.8419 5.5674 14.5845
angles (deg): 90.00 97.58 90.00
With the nearest neighbours (Å) after each atom.
Atoms (fractional coordinates):
La 0.0427 0.2500 0.0857  8 Mg 3.38-3.49, 2 La 3.73
La 0.2356 0.2500 0.4728  2 Mg 3.41, 4 La 3.47-3.48, 4 Dy 3.73-3.80
La 0.7644 0.7500 0.5272  2 Mg 3.41, 4 La 3.47-3.48, 4 Dy 3.73-3.80
La 0.9573 0.7500 0.9143  8 Mg 3.38-3.49, 2 La 3.73
Dy 0.1517 0.7500 0.3009  6 Mg 3.29-3.40
Dy 0.8483 0.2500 0.6991  6 Mg 3.29-3.40
Mg 0.3611 0.7500 0.7220  4 La 3.38-3.41, 4 Dy 3.40, 2 Mg 3.64
Mg 0.4412 0.2500 0.8841  2 Dy 3.29, 6 La 3.41-3.49, 2 Mg 3.64
Mg 0.5588 0.7500 0.1159  2 Dy 3.29, 6 La 3.41-3.49, 2 Mg 3.64
Mg 0.6389 0.2500 0.2780  4 La 3.38-3.41, 4 Dy 3.40, 2 Mg 3.64

---

Here is crystalline LaOsPt2 at its relaxed geometry from Alexandria via LeMat-Bulk. Energies are from GGA-PBE.

a b c (Å): 4.7922 4.7922 4.7922
angles (deg): 60.00 60.00 60.00
With the nearest neighbours (Å) after each atom.
Atoms (fractional coordinates):
La 0.0000 0.0000 0.0000  8 Pt 2.93
Os 0.5000 0.5000 0.5000  8 Pt 2.93
Pt 0.2500 0.2500 0.2500  4 Os 2.93, 4 La 2.93
Pt 0.7500 0.7500 0.7500  4 Os 2.93, 4 La 2.93

---

The D(E_F) results, record by record, are as follows: 1.241, 2.410 states/eV/atom.
The ΔE_f results, record by record, are as follows: -58, 72 meV/atom.
The total magnetic moment results, record by record, are as follows: 0.0000, 0.4040 μB per atom.